Record 1
Computed, not measured: a relaxed structure of Tm5NiBi2 at the PBE level of DFT.

Lattice parameters (Å, degrees): 4.4410 7.9796 12.1966 90.00 90.00 90.00
Last column: nearest neighbours and their distance in Å.
Element x y z (fractional)
Tm  0.0000  0.8622  0.1933  1 Ni 2.60
Bi  0.5000  0.0696  0.3258  8 Tm 3.12-3.41
Bi  0.5000  0.9304  0.6742  8 Tm 3.12-3.41
Tm  0.0000  0.0000  0.5000  4 Bi 3.12, 4 Tm 3.48
Tm  0.5000  0.3223  0.5620  2 Ni 2.74
Tm  0.5000  0.6777  0.4380  2 Ni 2.74
Ni  0.0000  0.5000  0.5000  6 Tm 2.60-2.74
Tm  0.5000  0.1777  0.0620  2 Ni 2.74
Tm  0.0000  0.6378  0.6933  1 Ni 2.60
Bi  0.5000  0.5696  0.1742  8 Tm 3.12-3.41
Tm  0.0000  0.1378  0.8067  1 Ni 2.60
Bi  0.5000  0.4304  0.8258  8 Tm 3.12-3.41
Tm  0.0000  0.5000  0.0000  4 Bi 3.12, 4 Tm 3.48
Ni  0.0000  0.0000  0.0000  6 Tm 2.60-2.74
Tm  0.0000  0.3622  0.3067  1 Ni 2.60
Tm  0.5000  0.8223  0.9380  2 Ni 2.74

Crystal system: orthorhombic
Excess energy over the best structure of this formula in the dataset: 0 meV/atom

---

Record 2
Computed, not measured: a relaxed structure of CeNd3Sm2Y6 at the PBE level of DFT.

Lattice parameters (Å, degrees): 6.2682 6.2682 11.8676 95.04 95.04 119.99
Last column: nearest neighbours and their distance in Å.
Element x y z (fractional)
Y  0.7513  0.7513  0.2479  1 Ce 3.56, 2 Sm 3.57, 6 Y 3.59-3.63, 3 Nd 3.61-3.62
Y  0.5866  0.9176  0.7522  1 Ce 3.56, 2 Sm 3.57-3.58, 6 Y 3.59-3.63, 3 Nd 3.61-3.62
Sm  0.3334  0.6666  0.0000  6 Y 3.57-3.58, 3 Sm 3.62, 3 Ce 3.62
Sm  0.6666  0.3334  0.0000  6 Y 3.57-3.58, 3 Sm 3.62, 3 Ce 3.62
Nd  0.8325  0.1675  0.5000  6 Y 3.61-3.62, 6 Nd 3.61-3.64
Y  0.4134  0.0824  0.2478  1 Ce 3.56, 2 Sm 3.57-3.58, 6 Y 3.59-3.63, 3 Nd 3.61-3.62
Nd  0.5000  0.5000  0.5000  6 Y 3.61-3.62, 6 Nd 3.61-3.62
Nd  0.1675  0.8325  0.5000  6 Y 3.61-3.62, 6 Nd 3.61-3.64
Y  0.2487  0.2487  0.7521  1 Ce 3.56, 2 Sm 3.57, 6 Y 3.59-3.63, 3 Nd 3.61-3.62
Y  0.0824  0.4134  0.2478  1 Ce 3.56, 2 Sm 3.57-3.58, 6 Y 3.59-3.63, 3 Nd 3.61-3.62
Y  0.9176  0.5866  0.7522  1 Ce 3.56, 2 Sm 3.57-3.58, 6 Y 3.59-3.63, 3 Nd 3.61-3.62
Ce  0.0000  0.0000  0.0000  6 Y 3.56, 6 Sm 3.62

Crystal system: monoclinic

---

Number 1: density 10.2 g/cm³, formation enthalpy at 0 K -0.54 eV per atom. Number 2: density 5.9 g/cm³, formation enthalpy at 0 K 0.03 eV per atom.